[1]
The following is a GGA-PBE calculation of crystalline MgReHg at its relaxed geometry, from Alexandria via LeMat-Bulk.

a b c (Å): 4.4650 5.2302 9.4726
angles (deg): 90.00 90.00 90.00
Sites, in units of the cell vectors:
Re 0.2500 0.3797 0.6078
Re 0.7500 0.6203 0.6078
Re 0.2500 0.8797 0.1078
Re 0.7500 0.1203 0.1078
Hg 0.2500 0.3221 0.9287
Hg 0.2500 0.8221 0.4287
Hg 0.7500 0.6779 0.9287
Hg 0.7500 0.1779 0.4287
Mg 0.7500 0.1691 0.7613
Mg 0.2500 0.3309 0.2613
Mg 0.7500 0.6691 0.2613
Mg 0.2500 0.8309 0.7613

Computed properties:
Its space group is No. 40. As for the crystal system: orthorhombic.



[2]
The following is a GGA-PBE calculation of crystalline Ti3MnPb at its relaxed geometry, from Alexandria via LeMat-Bulk.

a b c (Å): 6.1098 8.6419 8.6419
angles (deg): 58.90 79.92 79.92
Sites, in units of the cell vectors:
Ti 0.1801 0.6474 0.6294
Ti 0.4123 0.3720 0.9786
Ti 0.0877 0.0214 0.6280
Ti 0.5877 0.6280 0.0214
Ti 0.5876 0.0210 0.6300
Ti 0.8199 0.3526 0.3706
Ti 0.3199 0.3706 0.3526
Ti 0.4124 0.9790 0.3700
Ti 0.9124 0.3700 0.9790
Ti 0.6801 0.6294 0.6474
Ti 0.9123 0.9786 0.3720
Ti 0.0876 0.6300 0.0210
Pb 0.7500 0.1655 0.8345
Pb 0.2500 0.8345 0.1655
Pb 0.7500 0.7391 0.2609
Pb 0.2500 0.2609 0.7391
Mn 0.3716 0.7589 0.7546
Mn 0.6284 0.2411 0.2454
Mn 0.1284 0.2454 0.2411
Mn 0.8716 0.7546 0.7589

Computed properties:
Its space group is No. 15. As for the crystal system: monoclinic.



no.,magnetic moment (μB per formula unit),mass density (g/cm3),energy relative to the lowest polymorph listed for this composition (kcal/mol of atoms)
1,0.00,12.344,8.98
2,0.00,7.042,0.00